Entry 1:
Computed, not measured: a relaxed structure of LiPuSi at the GGA-PBE level of DFT.

Output
For the calculated density, the calculation gives 7.683 g/cm³. The uncorrected energy is -21.93 eV per formula unit. The space group is No. 71.

POSCAR file:
```
LiPuSi
1.0
-1.424 2.558 8.280
1.424 -2.558 8.280
1.424 2.558 -8.280
Li Pu Si
2 2 2
Cartesian
0.000 1.273 0.000 Li
0.000 3.842 0.000 Li
0.000 0.000 5.341 Pu
0.000 0.000 11.219 Pu
0.000 0.000 2.289 Si
0.000 0.000 14.271 Si
```

Entry 2:
Computed, not measured: a relaxed structure of LiPuSi at the GGA-PBE level of DFT.

Output
For the calculated density, the calculation gives 6.548 g/cm³. The uncorrected energy is -21.74 eV per formula unit. The space group is No. 216.

POSCAR file:
```
LiPuSi
1.0
0.000 3.283 3.283
3.283 0.000 3.283
3.283 3.283 0.000
Li Pu Si
1 1 1
Cartesian
0.000 0.000 0.000 Li
3.283 3.283 3.283 Pu
1.641 1.641 1.641 Si
```

Entry 3:
Computed, not measured: a relaxed structure of Li4Pu3Si4 at the GGA-PBE level of DFT.

Output
For the calculated density, the calculation gives 7.215 g/cm³. The uncorrected energy is -75.39 eV per formula unit. The space group is No. 71.

POSCAR file:
```
Li4Pu3Si4
1.0
-2.194 3.250 7.040
2.194 -3.250 7.040
2.194 3.250 -7.040
Li Pu Si
4 3 4
Cartesian
2.194 -2.003 4.622 Li
0.000 1.247 2.418 Li
2.194 2.003 4.622 Li
0.000 5.253 2.418 Li
2.194 0.000 0.000 Pu
0.000 0.000 5.273 Pu
0.000 0.000 8.807 Pu
2.194 0.000 2.961 Si
0.000 2.045 0.000 Si
0.000 4.455 0.000 Si
0.000 3.250 4.079 Si
```

Entry 4:
Computed, not measured: a relaxed structure of Li2Pu2Si3 at the GGA-PBE level of DFT.

Output
For the calculated density, the calculation gives 7.544 g/cm³. The uncorrected energy is -51.24 eV per formula unit. The space group is No. 63.

POSCAR file:
```
Li2Pu2Si3
1.0
2.165 -8.996 0.000
2.165 8.996 0.000
0.000 0.000 6.623
Li Pu Si
4 4 6
Cartesian
2.165 5.583 3.715 Li
2.165 5.583 6.221 Li
2.165 -5.583 0.403 Li
2.165 -5.583 2.909 Li
2.165 2.801 4.968 Pu
2.165 0.879 1.656 Pu
2.165 -0.879 4.968 Pu
2.165 -2.801 1.656 Pu
2.165 7.915 0.469 Si
2.165 7.915 2.843 Si
2.165 3.949 1.656 Si
2.165 -3.949 4.968 Si
2.165 -7.915 3.780 Si
2.165 -7.915 6.155 Si
```